# 1
# CrCdPAuNF (GGA+U, relaxed)
# * uncorrected energy: -4.899 eV per atom
data_CrCdPAuNF
_chemical_formula_sum 'Cr1 Cd1 P1 Au1 N1 F1'
_cell_length_a 3.272
_cell_length_b 5.408
_cell_length_c 6.195
_cell_angle_alpha 71.13
_cell_angle_beta 73.67
_cell_angle_gamma 78.13
_space_group_name_H-M_alt 'P 1'
_space_group_IT_number 1
_space_group_name_Hall 'P 1'
loop_
_atom_site_label
_atom_site_type_symbol
_atom_site_fract_x
_atom_site_fract_y
_atom_site_fract_z
Cr1 Cr 0.063 0.692 0.439
F1 F 0.736 0.487 0.757
N1 N 0.384 0.342 0.365
Au1 Au 0.297 0.944 0.955
P1 P 0.412 0.039 0.528
Cd1 Cd 0.997 0.442 0.077

=====

# 2
# CrCdPAuNF (GGA+U, relaxed)
# * uncorrected energy: -5.016 eV per atom
data_CrCdPAuNF
_chemical_formula_sum 'Cr1 Cd1 P1 Au1 N1 F1'
_cell_length_a 3.014
_cell_length_b 3.912
_cell_length_c 9.038
_cell_angle_alpha 90.00
_cell_angle_beta 99.64
_cell_angle_gamma 90.00
_space_group_name_H-M_alt 'P 1'
_space_group_IT_number 1
_space_group_name_Hall 'P 1'
loop_
_atom_site_label
_atom_site_type_symbol
_atom_site_fract_x
_atom_site_fract_y
_atom_site_fract_z
P1 P 0.494 0.500 0.369
Cd1 Cd 0.171 0.500 0.735
F1 F 0.809 0.000 0.008
Cr1 Cr 0.827 0.500 0.043
Au1 Au 0.572 0.000 0.542
N1 N 0.402 0.500 0.192

=====

# 3
# CrCdPAuNF (GGA+U, relaxed)
# * uncorrected energy: -5.005 eV per atom
data_CrCdPAuNF
_chemical_formula_sum 'Cr1 Cd1 P1 Au1 N1 F1'
_cell_length_a 3.905
_cell_length_b 3.395
_cell_length_c 8.641
_cell_angle_alpha 90.00
_cell_angle_beta 105.51
_cell_angle_gamma 90.00
_space_group_name_H-M_alt 'P 1'
_space_group_IT_number 1
_space_group_name_Hall 'P 1'
loop_
_atom_site_label
_atom_site_type_symbol
_atom_site_fract_x
_atom_site_fract_y
_atom_site_fract_z
Cd1 Cd 0.666 0.500 0.273
N1 N 0.318 0.500 0.801
Cr1 Cr 0.380 0.000 0.948
Au1 Au 0.249 0.000 0.445
P1 P 0.494 0.500 0.657
F1 F 0.904 0.000 0.986

=====

# 4
# CrCdPAuNF (GGA+U, relaxed)
# * uncorrected energy: -5.054 eV per atom
data_CrCdPAuNF
_chemical_formula_sum 'Cr1 Cd1 P1 Au1 N1 F1'
_cell_length_a 3.024
_cell_length_b 4.403
_cell_length_c 9.453
_cell_angle_alpha 98.28
_cell_angle_beta 99.23
_cell_angle_gamma 82.73
_space_group_name_H-M_alt 'P 1'
_space_group_IT_number 1
_space_group_name_Hall 'P 1'
loop_
_atom_site_label
_atom_site_type_symbol
_atom_site_fract_x
_atom_site_fract_y
_atom_site_fract_z
N1 N 0.333 0.412 0.785
Au1 Au 0.227 0.854 0.504
F1 F 0.504 0.214 0.052
P1 P 0.251 0.385 0.613
Cd1 Cd 0.604 0.804 0.240
Cr1 Cr 0.917 0.321 0.917

=====

# 5
# CrCdPAuNF (GGA+U, relaxed)
# * uncorrected energy: -5.119 eV per atom
data_CrCdPAuNF
_chemical_formula_sum 'Cr1 Cd1 P1 Au1 N1 F1'
_cell_length_a 5.745
_cell_length_b 5.952
_cell_length_c 3.170
_cell_angle_alpha 87.31
_cell_angle_beta 87.83
_cell_angle_gamma 67.69
_space_group_name_H-M_alt 'P 1'
_space_group_IT_number 1
_space_group_name_Hall 'P 1'
loop_
_atom_site_label
_atom_site_type_symbol
_atom_site_fract_x
_atom_site_fract_y
_atom_site_fract_z
Cr1 Cr 0.417 0.401 0.990
P1 P 0.888 0.063 0.486
Au1 Au 0.233 0.969 0.972
F1 F 0.166 0.486 0.499
N1 N 0.673 0.337 0.477
Cd1 Cd 0.676 0.734 0.465

=====

# 6
# CrCdPAuNF (GGA+U, relaxed)
# * uncorrected energy: -5.065 eV per atom
data_CrCdPAuNF
_chemical_formula_sum 'Cr1 Cd1 P1 Au1 N1 F1'
_cell_length_a 3.023
_cell_length_b 9.684
_cell_length_c 6.725
_cell_angle_alpha 125.92
_cell_angle_beta 89.97
_cell_angle_gamma 98.91
_space_group_name_H-M_alt 'P 1'
_space_group_IT_number 1
_space_group_name_Hall 'P 1'
loop_
_atom_site_label
_atom_site_type_symbol
_atom_site_fract_x
_atom_site_fract_y
_atom_site_fract_z
F1 F 0.211 0.573 0.005
P1 P 0.934 0.013 0.568
Cr1 Cr 0.621 0.392 0.861
Cd1 Cd 0.369 0.881 0.139
N1 N 0.036 0.220 0.720
Au1 Au 0.884 0.911 0.818

=====

# 7
# CrCdPAuNF (GGA+U, relaxed)
# * uncorrected energy: -4.988 eV per atom
data_CrCdPAuNF
_chemical_formula_sum 'Cr1 Cd1 P1 Au1 N1 F1'
_cell_length_a 5.053
_cell_length_b 4.309
_cell_length_c 7.079
_cell_angle_alpha 52.52
_cell_angle_beta 104.84
_cell_angle_gamma 115.24
_space_group_name_H-M_alt 'P 1'
_space_group_IT_number 1
_space_group_name_Hall 'P 1'
loop_
_atom_site_label
_atom_site_type_symbol
_atom_site_fract_x
_atom_site_fract_y
_atom_site_fract_z
N1 N 0.575 0.640 0.580
Cr1 Cr 0.483 0.076 0.597
F1 F 0.395 0.398 0.232
Au1 Au 0.072 0.234 0.734
Cd1 Cd 0.664 0.073 0.191
P1 P 0.865 0.589 0.776